No. 1
The following is a GGA-PBE calculation of a geometry-optimized CdGaCuPt structure, from OQMD via LeMat-Bulk.

Unit cell a=4.4768 b=4.4768 c=4.4768 alpha=60.00 beta=60.00 gamma=60.00
Atoms (fractional coordinates):
Cd (0.0000, 0.0000, 0.0000)
Ga (0.5000, 0.5000, 0.5000)
Cu (0.7500, 0.7500, 0.7500)
Pt (0.2500, 0.2500, 0.2500)

Output
Distance to the lowest polymorph of the same formula (meV per atom): 0
Total magnetic moment (μB/atom): 0.00
SG: F-43m, No. 216



No. 2
The following is a GGA-PBE calculation of a geometry-optimized AlCuHgW structure, from OQMD via LeMat-Bulk.

Unit cell a=4.5427 b=4.5427 c=4.5427 alpha=60.00 beta=60.00 gamma=60.00
Atoms (fractional coordinates):
Al (0.0000, 0.0000, 0.0000)
Cu (0.2500, 0.2500, 0.2500)
Hg (0.5000, 0.5000, 0.5000)
W (0.7500, 0.7500, 0.7500)

Output
Distance to the lowest polymorph of the same formula (meV per atom): 0
Total magnetic moment (μB/atom): 0.40
SG: F-43m, No. 216



No. 3
The following is a GGA-PBE calculation of a geometry-optimized Tm3Mo3W2N12 structure, from OQMD via LeMat-Bulk.

Unit cell a=10.9008 b=10.9008 c=10.9008 alpha=109.47 beta=109.47 gamma=109.47
Atoms (fractional coordinates):
Tm (0.1250, 0.2500, 0.3750)
Tm (0.1250, 0.3750, 0.7500)
Tm (0.2500, 0.3750, 0.1250)
Tm (0.2500, 0.8750, 0.6250)
Tm (0.3750, 0.1250, 0.2500)
Tm (0.3750, 0.7500, 0.1250)
Tm (0.6250, 0.2500, 0.8750)
Tm (0.6250, 0.8750, 0.7500)
Tm (0.7500, 0.1250, 0.3750)
Tm (0.7500, 0.6250, 0.8750)
Tm (0.8750, 0.6250, 0.2500)
Tm (0.8750, 0.7500, 0.6250)
Mo (0.1250, 0.7500, 0.8750)
Mo (0.1250, 0.8750, 0.2500)
Mo (0.2500, 0.1250, 0.8750)
Mo (0.2500, 0.6250, 0.3750)
Mo (0.3750, 0.2500, 0.6250)
Mo (0.3750, 0.6250, 0.7500)
Mo (0.6250, 0.3750, 0.2500)
Mo (0.6250, 0.7500, 0.3750)
Mo (0.7500, 0.3750, 0.6250)
Mo (0.7500, 0.8750, 0.1250)
Mo (0.8750, 0.1250, 0.7500)
Mo (0.8750, 0.2500, 0.1250)
W (0.0000, 0.0000, 0.0000)
W (0.0000, 0.0000, 0.5000)
W (0.0000, 0.5000, 0.0000)
W (0.0000, 0.5000, 0.5000)
W (0.5000, 0.0000, 0.0000)
W (0.5000, 0.0000, 0.5000)
W (0.5000, 0.5000, 0.0000)
W (0.5000, 0.5000, 0.5000)
N (0.0249, 0.2048, 0.1187)
N (0.0249, 0.3201, 0.9062)
N (0.0861, 0.7048, 0.6799)
N (0.0861, 0.8813, 0.4062)
N (0.0938, 0.6187, 0.4139)
N (0.0938, 0.9751, 0.6799)
N (0.1187, 0.0249, 0.2048)
N (0.1187, 0.5938, 0.9139)
N (0.1799, 0.2048, 0.5861)
N (0.1799, 0.4751, 0.5938)
N (0.2048, 0.1187, 0.0249)
N (0.2048, 0.5861, 0.1799)
N (0.2952, 0.3201, 0.9139)
N (0.2952, 0.4751, 0.3813)
N (0.3201, 0.9062, 0.0249)
N (0.3201, 0.9139, 0.2952)
N (0.3813, 0.2952, 0.4751)
N (0.3813, 0.5861, 0.9062)
N (0.4062, 0.0861, 0.8813)
N (0.4062, 0.8201, 0.5249)
N (0.4139, 0.0938, 0.6187)
N (0.4139, 0.8201, 0.7952)
N (0.4751, 0.3813, 0.2952)
N (0.4751, 0.5938, 0.1799)
N (0.5249, 0.4062, 0.8201)
N (0.5249, 0.6187, 0.7048)
N (0.5861, 0.1799, 0.2048)
N (0.5861, 0.9062, 0.3813)
N (0.5938, 0.1799, 0.4751)
N (0.5938, 0.9139, 0.1187)
N (0.6187, 0.4139, 0.0938)
N (0.6187, 0.7048, 0.5249)
N (0.6799, 0.0861, 0.7048)
N (0.6799, 0.0938, 0.9751)
N (0.7048, 0.5249, 0.6187)
N (0.7048, 0.6799, 0.0861)
N (0.7952, 0.4139, 0.8201)
N (0.7952, 0.8813, 0.9751)
N (0.8201, 0.5249, 0.4062)
N (0.8201, 0.7952, 0.4139)
N (0.8813, 0.4062, 0.0861)
N (0.8813, 0.9751, 0.7952)
N (0.9062, 0.0249, 0.3201)
N (0.9062, 0.3813, 0.5861)
N (0.9139, 0.1187, 0.5938)
N (0.9139, 0.2952, 0.3201)
N (0.9751, 0.6799, 0.0938)
N (0.9751, 0.7952, 0.8813)

Output
Total magnetic moment (μB/atom): 0.00
SG: Ia-3d, No. 230



Number 1: VASP energy -3.625 eV/atom. Number 2: VASP energy -4.541 eV/atom. Number 3: VASP energy -9.323 eV/atom.